This record from the Alexandria database describes a relaxed K2LiMgP2 crystal. The functional is GGA-PBE.

## Properties
V in Å³/cell: 300
Total magnetization in μB/atom: 0.080
Calculated formation energy in eV/atom: -0.47
Space-group type: Ibam (72)

Cell: 8.7040 8.7040 8.7040 Å, 137.34 61.96 137.29°
Sites, in units of the cell vectors:
K 0.1748 0.2332 0.4080
K 0.3252 0.7332 0.0584
K 0.6748 0.2668 0.9416
K 0.8252 0.7668 0.5920
Li 0.2500 0.2500 0.0000
Li 0.7500 0.7500 0.0000
Mg 0.2500 0.7500 0.5000
Mg 0.7500 0.2500 0.5000
P 0.0922 0.7450 0.8372
P 0.4078 0.2450 0.6528
P 0.5922 0.7550 0.3472
P 0.9078 0.2550 0.1628

This record from the Alexandria database describes a relaxed LuThMgCd crystal. The functional is GGA-PBE.

## Properties
V in Å³/cell: 108
Total magnetization in μB/atom: 0.000
Calculated formation energy in eV/atom: -0.06
Space-group type: F-43m (216)

Cell: 5.3376 5.3376 5.3376 Å, 60.00 60.00 60.00°
Sites, in units of the cell vectors:
Lu 0.0000 0.0000 0.0000
Th 0.5000 0.5000 0.5000
Mg 0.7500 0.7500 0.7500
Cd 0.2500 0.2500 0.2500

This record from the Alexandria database describes a relaxed SrMg2Hg crystal. The functional is GGA-PBE.

## Properties
V in Å³/cell: 119
Total magnetization in μB/atom: 0.000
Calculated formation energy in eV/atom: -0.21
Space-group type: Cm (8)

Cell: 4.9507 4.9507 6.2968 Å, 113.23 113.23 60.13°
Sites, in units of the cell vectors:
Sr 0.0000 0.0000 0.0000
Mg 0.2048 0.2048 0.6134
Mg 0.4733 0.4733 0.4171
Hg 0.7979 0.7979 0.3909

This record from the Alexandria database describes a relaxed CuHgBiOs2 crystal. The functional is GGA-PBE.

## Properties
V in Å³/cell: 143
Total magnetization in μB/atom: 0.402
Calculated formation energy in eV/atom: 2.50
Space-group type: P4/mmm (123)

Cell: 5.0356 5.0356 5.6454 Å, 90.00 90.00 90.00°
Sites, in units of the cell vectors:
Cu 0.0000 0.0000 0.0000
Hg 0.5000 0.5000 0.0000
Bi 0.5000 0.5000 0.5000
Os 0.0000 0.5000 0.5000
Os 0.5000 0.0000 0.5000

This record from the Alexandria database describes a relaxed Ag4Pd2Pt crystal. The functional is GGA-PBE.

## Properties
V in Å³/cell: 124
Total magnetization in μB/atom: 0.000
Calculated formation energy in eV/atom: 0.23
Space-group type: I4/mmm (139)

Cell: 5.5100 5.5100 5.5100 Å, 103.53 103.53 122.15°
Sites, in units of the cell vectors:
Ag 0.2042 0.2042 0.4085
Ag 0.2042 0.7958 0.0000
Ag 0.7958 0.2042 0.0000
Ag 0.7958 0.7958 0.5915
Pd 0.2500 0.7500 0.5000
Pd 0.7500 0.2500 0.5000
Pt 0.5000 0.5000 0.0000

This record from the Alexandria database describes a relaxed XeF3 crystal. The functional is GGA-PBE.

## Properties
V in Å³/cell: 341
Total magnetization in μB/atom: 0.000
Formation energy from raw total energies in meV/atom: -513
Space-group type: P2_1/c (14)

Cell: 6.8882 7.5513 6.5597 Å, 90.00 92.64 90.00°
Sites, in units of the cell vectors:
Xe 0.0000 0.0000 0.0000
Xe 0.0000 0.5000 0.5000
Xe 0.5000 0.0000 0.5000
Xe 0.5000 0.5000 0.0000
F 0.9999 0.0894 0.2937
F 0.9999 0.4106 0.7937
F 0.0001 0.5894 0.2063
F 0.0001 0.9106 0.7063
F 0.2684 0.1086 0.9699
F 0.2684 0.3914 0.4699
F 0.3303 0.6803 0.8315
F 0.3303 0.8197 0.3315
F 0.6697 0.1803 0.6685
F 0.6697 0.3197 0.1685
F 0.7316 0.6086 0.5301
F 0.7316 0.8914 0.0301

This record from the Alexandria database describes a relaxed H3WAu crystal. The functional is GGA-PBE.

## Properties
V in Å³/cell: 46
Total magnetization in μB/atom: 0.000
E in hartree per atom: -0.17182
Space-group type: Pm-3m (221)

Cell: 3.5716 3.5716 3.5716 Å, 90.00 90.00 90.00°
Sites, in units of the cell vectors:
H 0.0000 0.0000 0.5000
H 0.0000 0.5000 0.0000
H 0.5000 0.0000 0.0000
W 0.0000 0.0000 0.0000
Au 0.5000 0.5000 0.5000

This record from the Alexandria database describes a relaxed NaGaP2Cl crystal. The functional is GGA-PBE.

## Properties
V in Å³/cell: 125
Total magnetization in μB/atom: 0.185
Formation energy from raw total energies in meV/atom: 94
Space-group type: P4/mmm (123)

Cell: 4.6620 4.6620 5.7369 Å, 90.00 90.00 90.00°
Sites, in units of the cell vectors:
Na 0.0000 0.0000 0.0000
Ga 0.5000 0.5000 0.5000
P 0.0000 0.5000 0.5000
P 0.5000 0.0000 0.5000
Cl 0.5000 0.5000 0.0000

This record from the Alexandria database describes a relaxed HfWSN2 crystal. The functional is GGA-PBE.

## Properties
V in Å³/cell: 73
Total magnetization in μB/atom: 0.000
Formation energy from raw total energies in meV/atom: 53
Space-group type: P4/mmm (123)

Cell: 3.9087 3.9087 4.7550 Å, 90.00 90.00 90.00°
Sites, in units of the cell vectors:
Hf 0.0000 0.0000 0.0000
W 0.5000 0.5000 0.5000
S 0.5000 0.5000 0.0000
N 0.0000 0.5000 0.5000
N 0.5000 0.0000 0.5000

This record from the Alexandria database describes a relaxed Ho4ErMg3 crystal. The functional is GGA-PBE.

## Properties
V in Å³/cell: 224
Total magnetization in μB/atom: 0.000
Calculated formation energy in eV/atom: -0.01
Space-group type: Pmmm (47)

Cell: 3.7940 5.4004 10.9281 Å, 90.00 90.00 90.00°
Sites, in units of the cell vectors:
Ho 0.0000 0.0000 0.0000
Ho 0.0000 0.0000 0.5000
Ho 0.0000 0.5000 0.2396
Ho 0.0000 0.5000 0.7604
Er 0.5000 0.5000 0.5000
Mg 0.5000 0.0000 0.2491
Mg 0.5000 0.0000 0.7509
Mg 0.5000 0.5000 0.0000

This record from the Alexandria database describes a relaxed Cs2Cd3Hg5 crystal. The functional is GGA-PBE.

## Properties
V in Å³/cell: 347
Total magnetization in μB/atom: 0.000
Calculated formation energy in eV/atom: -0.15
Space-group type: P-4m2 (115)

Cell: 5.4173 5.4173 11.8231 Å, 90.00 90.00 90.00°
Sites, in units of the cell vectors:
Cs 0.0000 0.5000 0.2483
Cs 0.5000 0.0000 0.7517
Cd 0.0000 0.5000 0.6069
Cd 0.5000 0.0000 0.3931
Cd 0.5000 0.5000 0.5000
Hg 0.0000 0.0000 0.0000
Hg 0.0000 0.0000 0.5000
Hg 0.0000 0.5000 0.8604
Hg 0.5000 0.0000 0.1396
Hg 0.5000 0.5000 0.0000

This record from the Alexandria database describes a relaxed ZrScMo3 crystal. The functional is GGA-PBE.

## Properties
V in Å³/cell: 100
Total magnetization in μB/atom: 0.000
Calculated formation energy in eV/atom: 1.56
Space-group type: Pm-3m (221)

Cell: 4.6462 4.6462 4.6462 Å, 90.00 90.00 90.00°
Sites, in units of the cell vectors:
Zr 0.0000 0.0000 0.0000
Sc 0.5000 0.5000 0.5000
Mo 0.0000 0.5000 0.5000
Mo 0.5000 0.0000 0.5000
Mo 0.5000 0.5000 0.0000

Copy entry 7 word for word.
This record from the Alexandria database describes a relaxed H3WAu crystal. The functional is GGA-PBE.

## Properties
V in Å³/cell: 46
Total magnetization in μB/atom: 0.000
E in hartree per atom: -0.17182
Space-group type: Pm-3m (221)

Cell: 3.5716 3.5716 3.5716 Å, 90.00 90.00 90.00°
Sites, in units of the cell vectors:
H 0.0000 0.0000 0.5000
H 0.0000 0.5000 0.0000
H 0.5000 0.0000 0.0000
W 0.0000 0.0000 0.0000
Au 0.5000 0.5000 0.5000

Please write out number 8 again, unchanged.
This record from the Alexandria database describes a relaxed NaGaP2Cl crystal. The functional is GGA-PBE.

## Properties
V in Å³/cell: 125
Total magnetization in μB/atom: 0.185
Formation energy from raw total energies in meV/atom: 94
Space-group type: P4/mmm (123)

Cell: 4.6620 4.6620 5.7369 Å, 90.00 90.00 90.00°
Sites, in units of the cell vectors:
Na 0.0000 0.0000 0.0000
Ga 0.5000 0.5000 0.5000
P 0.0000 0.5000 0.5000
P 0.5000 0.0000 0.5000
Cl 0.5000 0.5000 0.0000